Nb2GaFe: optimized geometry, GGA-PBE.

Unit cell a=3.5795 b=3.5795 c=6.5863 alpha=74.23 beta=74.23 gamma=60.00
Positions (direct):
Fe 0.0000 0.0000 0.0000
Nb 0.7345 0.7345 0.7965
Nb 0.2655 0.2655 0.2035
Ga 0.5000 0.5000 0.5000

Properties
Spin magnetization, μB/f.u.: 0.00
Uncorrected energy, eV for the cell shown: -30.67
Energy relative to the elements, eV per atom: 0.239
N(E_F), states/eV/atom: 0.71
Symmetry: No. 166

=====

Pa2TlF11: optimized geometry, GGA-PBE.

Unit cell a=8.6216 b=9.5369 c=9.5369 alpha=70.22 beta=63.13 gamma=63.13
Positions (direct):
F 0.6367 0.2832 0.7168
F 0.3626 0.8070 0.9635
F 0.1331 0.0365 0.1930
F 0.3633 0.7168 0.2832
F 0.9706 0.8206 0.4210
F 0.5000 0.5000 0.5000
F 0.1367 0.2168 0.7832
F 0.5294 0.0790 0.6794
F 0.6374 0.1930 0.0365
F 0.4706 0.9210 0.3206
F 0.8626 0.4635 0.3070
F 0.8633 0.7832 0.2168
F 0.0000 0.0000 0.0000
F 0.6331 0.6930 0.5365
F 0.7878 0.4210 0.8206
F 0.8669 0.9635 0.8070
F 0.2122 0.5790 0.1794
F 0.0294 0.1794 0.5790
F 0.3669 0.3070 0.4635
F 0.1374 0.5365 0.6930
F 0.7122 0.6794 0.0790
F 0.2878 0.3206 0.9210
Pa 0.8607 0.1804 0.8196
Pa 0.1393 0.8196 0.1804
Pa 0.6393 0.6804 0.3196
Pa 0.3607 0.3196 0.6804
Tl 0.7500 0.7500 0.7500
Tl 0.2500 0.2500 0.2500

Properties
Spin magnetization, μB/f.u.: 0.00
Uncorrected energy, eV for the cell shown: -183.57
Uncorrected formation energy, eV per atom: -3.5601
N(E_F), states/eV/atom: 0.00
Symmetry: No. 72

=====

ScTc2GeBi: optimized geometry, GGA-PBE.

Unit cell a=4.7952 b=5.4394 c=4.7952 alpha=90.00 beta=90.00 gamma=90.00
Last column: magnetic moment on the atom in μB.
Positions (direct):
Tc 0.0000 0.0000 0.5000  1.70
Tc 0.5000 0.0000 0.0000  2.11
Bi 0.0000 0.5000 0.0000  0.00
Sc 0.0000 0.0000 0.0000  -0.12
Ge 0.5000 0.5000 0.5000  -0.04

Properties
Spin magnetization, μB/f.u.: 4.19
Uncorrected energy, eV for the cell shown: -27.92
Energy relative to the elements, eV per atom: 1.528
N(E_F), states/eV/atom: 1.25
Symmetry: No. 123

=====

Zn2InIr: optimized geometry, GGA-PBE.

Unit cell a=3.9587 b=3.9587 c=9.6930 alpha=78.22 beta=78.22 gamma=90.00
Positions (direct):
In 0.2500 0.7500 0.5000
In 0.5000 0.5000 0.0000
Zn 0.6791 0.1250 0.2500
Zn 0.0709 0.6250 0.2500
Zn 0.8750 0.9291 0.7500
Zn 0.3750 0.3209 0.7500
Ir 0.0000 0.0000 0.0000
Ir 0.7500 0.2500 0.5000

Properties
Spin magnetization, μB/f.u.: 0.00
Uncorrected energy, eV for the cell shown: -27.16
Energy relative to the elements, eV per atom: 0.141
N(E_F), states/eV/atom: 0.55
Symmetry: No. 122